# 1
Below is an optimized crystal structure of K4MgSc, with properties calculated at the PBEsol level.

Properties
volume: 280.0 Å³ per cell
calculated total energy: -1.499 eV per atom

Lattice parameters (Å, degrees): 7.3437 7.3437 7.3437 60.00 60.00 60.00
Last column: nearest neighbours and their distance in Å.
Fractional positions:
K (0.1248, 0.1248, 0.1248)  6 K 3.67-3.68
K (0.1248, 0.1248, 0.6257)  6 K 3.67-3.68
K (0.1248, 0.6257, 0.1248)  6 K 3.67-3.68
K (0.6257, 0.1248, 0.1248)  6 K 3.67-3.68
Mg (0.7500, 0.7500, 0.7500)  12 K 4.30, 4 Sc 4.50
Sc (0.5000, 0.5000, 0.5000)  12 K 4.31, 4 Mg 4.50


# 2
Below is an optimized crystal structure of Ta5Mo3, with properties calculated at the PBEsol level.

Properties
volume: 132.8 Å³ per cell
energy relative to the lowest polymorph listed for this composition: 0.0205 eV per atom
calculated total energy: -12.369 eV per atom

Lattice parameters (Å, degrees): 7.2439 7.2439 7.2439 143.64 143.64 52.37
Last column: nearest neighbours and their distance in Å.
Fractional positions:
Ta (0.0000, 0.0000, 0.0000)  4 Mo 2.75, 4 Ta 2.84
Ta (0.2387, 0.2387, 0.0000)  4 Mo 2.73, 4 Ta 2.81
Ta (0.3674, 0.8674, 0.5000)  2 Mo 2.79, 6 Ta 2.81-2.84
Ta (0.4976, 0.4976, 0.0000)  4 Mo 2.77, 4 Ta 2.82
Ta (0.8674, 0.3674, 0.5000)  2 Mo 2.79, 6 Ta 2.81-2.84
Mo (0.1211, 0.6211, 0.5000)  6 Ta 2.73-2.77, 2 Mo 2.75
Mo (0.6211, 0.1211, 0.5000)  6 Ta 2.73-2.77, 2 Mo 2.75
Mo (0.7417, 0.7417, 0.0000)  4 Mo 2.75, 4 Ta 2.79


# 3
Below is an optimized crystal structure of Ca2MnCu, with properties calculated at the PBEsol level.

Properties
volume: 96.2 Å³ per cell
energy relative to the lowest polymorph listed for this composition: 0.0000 eV per atom
calculated total energy: -4.317 eV per atom

Lattice parameters (Å, degrees): 4.0596 5.8993 5.8993 42.92 90.00 90.00
Last column: nearest neighbours and their distance in Å.
Fractional positions:
Ca (0.0000, 0.0000, 0.0000)  4 Mn 3.13, 3 Cu 3.17-3.18
Ca (0.5000, 0.2900, 0.2900)  3 Mn 3.07-3.30, 4 Cu 3.09
Mn (0.5000, 0.5908, 0.5908)  2 Cu 2.42
Cu (0.0000, 0.7108, 0.7108)  2 Mn 2.42


# 4
Below is an optimized crystal structure of Rb2SmBr5, with properties calculated at the PBEsol level.

Properties
volume: 1062.6 Å³ per cell
calculated total energy: -3.915 eV per atom

Lattice parameters (Å, degrees): 13.5617 9.1572 8.5566 90.00 90.00 90.00
Last column: nearest neighbours and their distance in Å.
Fractional positions:
Rb (0.1708, 0.0071, 0.0702)  8 Br 3.39-3.74
Rb (0.1708, 0.4929, 0.0702)  8 Br 3.39-3.74
Rb (0.3292, 0.5071, 0.5702)  8 Br 3.39-3.74
Rb (0.3292, 0.9929, 0.5702)  8 Br 3.39-3.74
Rb (0.6708, 0.0071, 0.4298)  8 Br 3.39-3.74
Rb (0.6708, 0.4929, 0.4298)  8 Br 3.39-3.74
Rb (0.8292, 0.5071, 0.9298)  8 Br 3.39-3.74
Rb (0.8292, 0.9929, 0.9298)  8 Br 3.39-3.74
Sm (0.0060, 0.2500, 0.5750)  7 Br 2.86-2.97
Sm (0.4940, 0.7500, 0.0750)  7 Br 2.86-2.97
Sm (0.5060, 0.2500, 0.9250)  7 Br 2.86-2.97
Sm (0.9940, 0.7500, 0.4250)  7 Br 2.86-2.97
Br (0.0109, 0.2500, 0.9130)  1 Sm 2.89
Br (0.0670, 0.5460, 0.6688)  2 Sm 2.95-2.97
Br (0.0670, 0.9540, 0.6688)  2 Sm 2.95-2.97
Br (0.1820, 0.2500, 0.3911)  1 Sm 2.86
Br (0.1998, 0.7500, 0.3532)  1 Sm 2.86
Br (0.3002, 0.2500, 0.8532)  1 Sm 2.86
Br (0.3180, 0.7500, 0.8911)  1 Sm 2.86
Br (0.4330, 0.0460, 0.1688)  2 Sm 2.95-2.97
Br (0.4330, 0.4540, 0.1688)  2 Sm 2.95-2.97
Br (0.4891, 0.7500, 0.4130)  1 Sm 2.89
Br (0.5109, 0.2500, 0.5870)  1 Sm 2.89
Br (0.5670, 0.5460, 0.8312)  2 Sm 2.95-2.97
Br (0.5670, 0.9540, 0.8312)  2 Sm 2.95-2.97
Br (0.6820, 0.2500, 0.1089)  1 Sm 2.86
Br (0.6998, 0.7500, 0.1468)  1 Sm 2.86
Br (0.8002, 0.2500, 0.6468)  1 Sm 2.86
Br (0.8180, 0.7500, 0.6089)  1 Sm 2.86
Br (0.9330, 0.0460, 0.3312)  2 Sm 2.95-2.97
Br (0.9330, 0.4540, 0.3312)  2 Sm 2.95-2.97
Br (0.9891, 0.7500, 0.0870)  1 Sm 2.89


# 5
Below is an optimized crystal structure of Zr2Mo, with properties calculated at the PBEsol level.

Properties
volume: 477.1 Å³ per cell
energy relative to the lowest polymorph listed for this composition: 0.0000 eV per atom
calculated total energy: -9.977 eV per atom

Lattice parameters (Å, degrees): 8.7706 8.7706 8.7706 60.00 60.00 60.00
Last column: nearest neighbours and their distance in Å.
Fractional positions:
Zr (0.0000, 0.0000, 0.0000)  6 Mo 2.70
Zr (0.0000, 0.0000, 0.5000)  6 Mo 2.70
Zr (0.0000, 0.5000, 0.0000)  6 Mo 2.70
Zr (0.1856, 0.1856, 0.5644)  4 Mo 2.90-3.17, 2 Zr 3.18
Zr (0.1856, 0.5644, 0.1856)  4 Mo 2.90-3.17, 2 Zr 3.18
Zr (0.1856, 0.5644, 0.5644)  4 Mo 2.90-3.17, 2 Zr 3.18
Zr (0.4356, 0.4356, 0.8144)  4 Mo 2.90-3.17, 2 Zr 3.18
Zr (0.4356, 0.8144, 0.4356)  4 Mo 2.90-3.17, 2 Zr 3.18
Zr (0.4356, 0.8144, 0.8144)  4 Mo 2.90-3.17, 2 Zr 3.18
Zr (0.5000, 0.0000, 0.0000)  6 Mo 2.70
Zr (0.5644, 0.1856, 0.1856)  4 Mo 2.90-3.17, 2 Zr 3.18
Zr (0.5644, 0.1856, 0.5644)  4 Mo 2.90-3.17, 2 Zr 3.18
Zr (0.5644, 0.5644, 0.1856)  4 Mo 2.90-3.17, 2 Zr 3.18
Zr (0.8144, 0.4356, 0.4356)  4 Mo 2.90-3.17, 2 Zr 3.18
Zr (0.8144, 0.4356, 0.8144)  4 Mo 2.90-3.17, 2 Zr 3.18
Zr (0.8144, 0.8144, 0.4356)  4 Mo 2.90-3.17, 2 Zr 3.18
Mo (0.1317, 0.7894, 0.7894)  6 Zr 2.70-2.90, 3 Mo 3.00
Mo (0.2106, 0.2106, 0.2106)  6 Zr 2.70-2.90, 3 Mo 3.00
Mo (0.2106, 0.2106, 0.8683)  6 Zr 2.70-2.90, 3 Mo 3.00
Mo (0.2106, 0.8683, 0.2106)  6 Zr 2.70-2.90, 3 Mo 3.00
Mo (0.7894, 0.1317, 0.7894)  6 Zr 2.70-2.90, 3 Mo 3.00
Mo (0.7894, 0.7894, 0.1317)  6 Zr 2.70-2.90, 3 Mo 3.00
Mo (0.7894, 0.7894, 0.7894)  6 Zr 2.70-2.90, 3 Mo 3.00
Mo (0.8683, 0.2106, 0.2106)  6 Zr 2.70-2.90, 3 Mo 3.00


# 6
Below is an optimized crystal structure of Li4YRe, with properties calculated at the PBEsol level.

Properties
volume: 93.3 Å³ per cell
calculated total energy: -4.237 eV per atom

Lattice parameters (Å, degrees): 5.0907 5.0907 5.0907 60.00 60.00 60.00
Last column: nearest neighbours and their distance in Å.
Fractional positions:
Li (0.3796, 0.3796, 0.3796)  6 Li 2.45-2.64
Li (0.3796, 0.3796, 0.8612)  6 Li 2.45-2.64
Li (0.3796, 0.8612, 0.3796)  6 Li 2.45-2.64
Li (0.8612, 0.3796, 0.3796)  6 Li 2.45-2.64
Y (0.0000, 0.0000, 0.0000)  12 Li 3.00, 4 Re 3.12
Re (0.7500, 0.7500, 0.7500)  12 Li 2.98, 4 Y 3.12


# 7
Below is an optimized crystal structure of Lu2GaAg, with properties calculated at the PBEsol level.

Properties
volume: 84.0 Å³ per cell
calculated total energy: -4.595 eV per atom

Lattice parameters (Å, degrees): 4.9153 4.9153 4.9153 60.00 60.00 60.00
Last column: nearest neighbours and their distance in Å.
Fractional positions:
Lu (0.2500, 0.2500, 0.2500)  4 Ag 3.01, 4 Ga 3.01
Lu (0.7500, 0.7500, 0.7500)  4 Ga 3.01, 4 Ag 3.01
Ga (0.0000, 0.0000, 0.0000)  8 Lu 3.01
Ag (0.5000, 0.5000, 0.5000)  8 Lu 3.01


# 8
Below is an optimized crystal structure of BaAlF2, with properties calculated at the PBEsol level.

Properties
volume: 76.0 Å³ per cell
calculated total energy: -4.380 eV per atom

Lattice parameters (Å, degrees): 4.7549 4.7549 4.7549 60.00 60.00 60.00
Last column: nearest neighbours and their distance in Å.
Fractional positions:
Ba (0.0000, 0.0000, 0.0000)  8 F 2.91
Al (0.5000, 0.5000, 0.5000)  8 F 2.91
F (0.2500, 0.2500, 0.2500)  4 Ba 2.91, 4 Al 2.91
F (0.7500, 0.7500, 0.7500)  4 Al 2.91, 4 Ba 2.91


# 9
Below is an optimized crystal structure of BaCaIn, with properties calculated at the PBEsol level.

Properties
volume: 112.1 Å³ per cell
calculated total energy: -2.742 eV per atom

Lattice parameters (Å, degrees): 7.4832 7.4832 7.4832 148.80 148.80 44.70
Last column: nearest neighbours and their distance in Å.
Fractional positions:
Ba (0.0000, 0.0000, 0.0000)  4 In 3.60, 1 Ca 3.77, 4 Ba 4.02
Ca (0.2727, 0.2727, 0.0000)  4 In 3.25
In (0.6590, 0.6590, 0.0000)  4 Ca 3.25, 4 Ba 3.60


# 10
Below is an optimized crystal structure of Be2AgTe, with properties calculated at the PBEsol level.

Properties
volume: 65.7 Å³ per cell
calculated total energy: -3.284 eV per atom

Lattice parameters (Å, degrees): 6.0645 6.0645 6.0645 148.06 146.00 47.34
Last column: nearest neighbours and their distance in Å.
Fractional positions:
Be (0.0000, 0.0000, 0.0000)  2 Be 2.25
Be (0.6240, 0.1240, 0.5000)  2 Be 2.25
Ag (0.4380, 0.4380, 0.0000)  6 Be 2.53-2.66
Te (0.2020, 0.7020, 0.5000)  6 Be 2.58-2.80


# 11
Below is an optimized crystal structure of BeNi2Te, with properties calculated at the PBEsol level.

Properties
volume: 50.2 Å³ per cell
calculated total energy: -4.907 eV per atom

Lattice parameters (Å, degrees): 4.6242 4.6242 4.6242 134.08 134.08 66.96
Last column: nearest neighbours and their distance in Å.
Fractional positions:
Be (0.0000, 0.0000, 0.0000)  8 Ni 2.55-2.64, 4 Te 2.64
Ni (0.5000, 0.5000, 0.0000)  4 Be 2.55, 4 Ni 2.64, 4 Te 2.64
Ni (0.7500, 0.2500, 0.5000)  4 Te 2.55, 4 Ni 2.64, 4 Be 2.64
Te (0.2500, 0.7500, 0.5000)  8 Ni 2.55-2.64, 4 Be 2.64


# 12
Below is an optimized crystal structure of K2NiPb, with properties calculated at the PBEsol level.

Properties
volume: 105.8 Å³ per cell
calculated total energy: -2.593 eV per atom

Lattice parameters (Å, degrees): 4.3724 4.3724 5.5354 90.00 90.00 90.00
Last column: nearest neighbours and their distance in Å.
Fractional positions:
K (0.0000, 0.5000, 0.0000)  4 K 3.09
K (0.5000, 0.0000, 0.0000)  4 K 3.09
Ni (0.0000, 0.0000, 0.5000)  4 Pb 3.09
Pb (0.5000, 0.5000, 0.5000)  4 Ni 3.09